First-principles (PBE-GGA) data for a relaxed LaSbNF2 crystal, as listed in the Alexandria database.

Lattice parameters (Å, degrees): 4.530 4.530 5.144 90.00 90.00 90.00
Site moments in Bohr magnetons follow the coordinates.
Fractional coordinates of all 5 atoms:
La (0.000, 0.000, 0.000)  -0.01
F (0.500, 0.000, 0.000)  0.04
F (0.000, 0.500, 0.000)  0.04
N (0.000, 0.000, 0.500)  -0.34
Sb (0.500, 0.500, 0.500)  0.54

Values from the calculation:
spin magnetization	0.93	μB/cell
formation energy (no corrections)	-1.4408	eV per atom
polymorph energy (0 for the lowest one)	0.0	meV/atom
V	21.1	A^3/atom
space-group type	No. 123